[1]
A plane-wave DFT calculation with GGA-PBEsol was carried out for a relaxed structure of LaZr.

Results
DOS at the Fermi energy = 1.3254 states/eV per atom
crystal system = trigonal
energy above the lowest structure with this stoichiometry = 0.0 meV per atom
space group = No. 164

Unit cell a=3.3274 b=3.3274 c=11.2877 alpha=90.00 beta=90.00 gamma=120.00
With the nearest neighbours (Å) after each atom.
Positions (direct):
La 0.3333 0.6667 0.3553  6 La 3.33, 3 Zr 3.39
La 0.6667 0.3333 0.6447  6 La 3.33, 3 Zr 3.39
Zr 0.3333 0.6667 0.8921  9 Zr 3.10-3.33, 3 La 3.39
Zr 0.6667 0.3333 0.1079  9 Zr 3.10-3.33, 3 La 3.39


[2]
A plane-wave DFT calculation with GGA-PBEsol was carried out for a relaxed structure of LaZr2.

Results
DOS at the Fermi energy = 1.2911 states/eV per atom
crystal system = tetragonal
energy above the lowest structure with this stoichiometry = 33.1 meV per atom
space group = No. 139

Unit cell a=5.7632 b=5.7632 c=5.7632 alpha=141.03 beta=141.03 gamma=56.29
With the nearest neighbours (Å) after each atom.
Positions (direct):
La 0.0000 0.0000 0.0000  10 Zr 3.24-3.28
Zr 0.3191 0.3191 0.0000  4 Zr 3.06, 5 La 3.24-3.28
Zr 0.6809 0.6809 0.0000  4 Zr 3.06, 5 La 3.24-3.28


[3]
A plane-wave DFT calculation with GGA-PBEsol was carried out for a relaxed structure of LaZr2.

Results
DOS at the Fermi energy = 1.7143 states/eV per atom
crystal system = hexagonal
energy above the lowest structure with this stoichiometry = 29.0 meV per atom
space group = No. 189

Unit cell a=5.7246 b=5.7246 c=5.3769 alpha=90.00 beta=90.00 gamma=120.00
With the nearest neighbours (Å) after each atom.
Positions (direct):
La 0.3333 0.6667 0.0000  9 Zr 3.31-3.34, 3 La 3.31
La 0.6667 0.3333 0.0000  9 Zr 3.31-3.34, 3 La 3.31
Zr 0.0000 0.0000 0.0000  6 Zr 3.21, 6 La 3.31
Zr 0.0000 0.3065 0.5000  4 Zr 3.04-3.21, 4 La 3.34
Zr 0.3065 0.0000 0.5000  4 Zr 3.04-3.21, 4 La 3.34
Zr 0.6935 0.6935 0.5000  4 Zr 3.04-3.21, 4 La 3.34


[4]
A plane-wave DFT calculation with GGA-PBEsol was carried out for a relaxed structure of LaZr3.

Results
DOS at the Fermi energy = 1.2098 states/eV per atom
crystal system = tetragonal
uncorrected energy = -32.0 eV/cell
space group = No. 139

Unit cell a=5.6067 b=5.6067 c=5.6067 alpha=131.57 beta=131.57 gamma=70.91
With the nearest neighbours (Å) after each atom.
Positions (direct):
La 0.0000 0.0000 0.0000  12 Zr 3.24-3.25
Zr 0.2500 0.7500 0.5000  8 Zr 3.24-3.25, 4 La 3.24
Zr 0.5000 0.5000 0.0000  8 Zr 3.24, 4 La 3.25
Zr 0.7500 0.2500 0.5000  8 Zr 3.24-3.25, 4 La 3.24


[5]
A plane-wave DFT calculation with GGA-PBEsol was carried out for a relaxed structure of LaZr.

Results
DOS at the Fermi energy = 2.2423 states/eV per atom
crystal system = cubic
energy above the lowest structure with this stoichiometry = 140.2 meV per atom
space group = No. 227

Unit cell a=5.3138 b=5.3138 c=5.3138 alpha=60.00 beta=60.00 gamma=60.00
With the nearest neighbours (Å) after each atom.
Positions (direct):
La 0.1250 0.1250 0.1250  4 La 3.25, 4 Zr 3.25
La 0.8750 0.8750 0.8750  4 Zr 3.25, 4 La 3.25
Zr 0.3750 0.3750 0.3750  4 Zr 3.25, 4 La 3.25
Zr 0.6250 0.6250 0.6250  4 Zr 3.25, 4 La 3.25


[6]
A plane-wave DFT calculation with GGA-PBEsol was carried out for a relaxed structure of LaZr.

Results
DOS at the Fermi energy = 1.4422 states/eV per atom
crystal system = trigonal
energy above the lowest structure with this stoichiometry = 81.3 meV per atom
space group = No. 166

Unit cell a=5.7248 b=5.7248 c=5.7248 alpha=34.31 beta=34.31 gamma=34.31
With the nearest neighbours (Å) after each atom.
Positions (direct):
La 0.0000 0.0000 0.0000  6 Zr 3.32, 6 La 3.38
Zr 0.5000 0.5000 0.5000  6 La 3.32, 6 Zr 3.38


[7]
A plane-wave DFT calculation with GGA-PBEsol was carried out for a relaxed structure of LaZr3.

Results
DOS at the Fermi energy = 2.1631 states/eV per atom
crystal system = cubic
uncorrected energy = -24.6 eV/cell
space group = No. 221

Unit cell a=5.1551 b=5.1551 c=5.1551 alpha=90.00 beta=90.00 gamma=90.00
With the nearest neighbours (Å) after each atom.
Positions (direct):
La 0.0000 0.0000 0.0000  6 Zr 2.58
Zr 0.0000 0.0000 0.5000  2 La 2.58
Zr 0.0000 0.5000 0.0000  2 La 2.58
Zr 0.5000 0.0000 0.0000  2 La 2.58


[8]
A plane-wave DFT calculation with GGA-PBEsol was carried out for a relaxed structure of LaZr2.

Results
DOS at the Fermi energy = 1.3730 states/eV per atom
crystal system = tetragonal
energy above the lowest structure with this stoichiometry = 827.6 meV per atom
space group = No. 123

Unit cell a=5.1396 b=5.1396 c=3.2094 alpha=90.00 beta=90.00 gamma=90.00
With the nearest neighbours (Å) after each atom.
Positions (direct):
La 0.0000 0.0000 0.0000  8 Zr 3.03, 2 La 3.21
Zr 0.0000 0.5000 0.5000  4 La 3.03, 2 Zr 3.21
Zr 0.5000 0.0000 0.5000  4 La 3.03, 2 Zr 3.21


[9]
A plane-wave DFT calculation with GGA-PBEsol was carried out for a relaxed structure of LaZr3.

Results
DOS at the Fermi energy = 1.3438 states/eV per atom
crystal system = trigonal
uncorrected energy = -31.7 eV/cell
space group = No. 166

Unit cell a=5.9675 b=5.9675 c=5.9675 alpha=116.95 beta=116.95 gamma=116.95
With the nearest neighbours (Å) after each atom.
Positions (direct):
La 0.0000 0.0000 0.0000  6 Zr 3.12, 2 La 3.16
Zr 0.0000 0.5000 0.5000  6 Zr 3.12-3.16, 2 La 3.12
Zr 0.5000 0.0000 0.5000  2 La 3.12, 6 Zr 3.12-3.16
Zr 0.5000 0.5000 0.0000  6 Zr 3.12-3.16, 2 La 3.12


[10]
A plane-wave DFT calculation with GGA-PBEsol was carried out for a relaxed structure of LaZr.

Results
DOS at the Fermi energy = 1.2429 states/eV per atom
crystal system = orthorhombic
energy above the lowest structure with this stoichiometry = 63.7 meV per atom
space group = No. 74

Unit cell a=6.5696 b=6.5696 c=6.5696 alpha=150.16 beta=130.09 gamma=59.24
With the nearest neighbours (Å) after each atom.
Positions (direct):
La 0.3722 0.1222 0.2500  6 Zr 3.25-3.44, 4 La 3.37-3.38
La 0.6278 0.8778 0.7500  6 Zr 3.25-3.44, 4 La 3.37-3.38
Zr 0.1103 0.3603 0.7500  4 Zr 3.04-3.38, 4 La 3.25
Zr 0.8897 0.6397 0.2500  4 Zr 3.04-3.38, 4 La 3.25


[11]
A plane-wave DFT calculation with GGA-PBEsol was carried out for a relaxed structure of LaZr2.

Results
DOS at the Fermi energy = 1.5162 states/eV per atom
crystal system = trigonal
energy above the lowest structure with this stoichiometry = 24.5 meV per atom
space group = No. 155

Unit cell a=6.3149 b=6.3149 c=6.3149 alpha=53.87 beta=53.87 gamma=53.87
With the nearest neighbours (Å) after each atom.
Positions (direct):
La 0.1490 0.1490 0.1490  9 Zr 3.26-3.47, 3 La 3.35
La 0.8510 0.8510 0.8510  9 Zr 3.26-3.47, 3 La 3.35
Zr 0.0000 0.6162 0.3838  6 Zr 3.08-3.23, 2 La 3.26
Zr 0.3838 0.0000 0.6162  6 Zr 3.08-3.23, 2 La 3.26
Zr 0.5000 0.5000 0.5000  6 Zr 3.23, 6 La 3.32
Zr 0.6162 0.3838 0.0000  6 Zr 3.08-3.23, 2 La 3.26


[12]
A plane-wave DFT calculation with GGA-PBEsol was carried out for a relaxed structure of LaZr2.

Results
DOS at the Fermi energy = 1.4637 states/eV per atom
crystal system = hexagonal
energy above the lowest structure with this stoichiometry = 0.0 meV per atom
space group = No. 187

Unit cell a=3.2600 b=3.2600 c=16.3897 alpha=90.00 beta=90.00 gamma=120.00
With the nearest neighbours (Å) after each atom.
Positions (direct):
La 0.0000 0.0000 0.1713  6 La 3.26, 6 Zr 3.38-3.46
La 0.0000 0.0000 0.8287  6 La 3.26, 6 Zr 3.38-3.46
Zr 0.0000 0.0000 0.5000  12 Zr 3.12-3.26
Zr 0.3333 0.6667 0.0000  6 Zr 3.26, 6 La 3.38
Zr 0.3333 0.6667 0.3485  9 Zr 3.12-3.26, 3 La 3.46
Zr 0.3333 0.6667 0.6515  9 Zr 3.12-3.26, 3 La 3.46


| no. | V (Å³ per cell) |
| --- | --- |
| 1 | 108.23 |
| 2 | 75.11 |
| 3 | 152.60 |
| 4 | 96.61 |
| 5 | 106.10 |
| 6 | 53.16 |
| 7 | 137.00 |
| 8 | 84.78 |
| 9 | 94.44 |
| 10 | 107.09 |
| 11 | 152.58 |
| 12 | 150.85 |